MnPbAuO5: optimized geometry, GGA+U.

calculated volume = 125.4 Å³/f.u.
N(E_F) = 1.3 states/eV/cell
total moment = 3.95 μB per cell
space-group type = C2/c
E_tot = -5.3563 eV per atom

Cell lengths 5.327, 5.327, 12.958 Å; angles 117.18, 117.18, 101.12 degrees
Last column: magnetic moment on the atom in μB.
Positions (direct):
1 Mn 0.275 0.725 0.250  2.19
2 Mn 0.725 0.275 0.750  2.19
3 Pb 0.000 0.000 0.500  0.00
4 Pb 0.000 0.000 0.000  0.00
5 Au 0.779 0.221 0.250  0.02
6 Au 0.221 0.779 0.750  0.02
7 O 0.071 0.929 0.250  0.00
8 O 0.929 0.071 0.750  0.00
9 O 0.877 0.313 0.135  0.03
10 O 0.123 0.687 0.865  0.03
11 O 0.687 0.123 0.365  0.03
12 O 0.313 0.877 0.635  0.03
13 O 0.479 0.695 0.391  -0.16
14 O 0.521 0.305 0.609  -0.16
15 O 0.305 0.521 0.109  -0.16
16 O 0.695 0.479 0.891  -0.16